[1]
NaGeAs2Se at its PBEsol-relaxed geometry, computed with SCAN.

Calculated values
The calculation puts the formation energy (no corrections) at 1.098 eV per atom. Its space group is P4/mmm (123). The energy above the most stable polymorph in this dataset is 0.800 eV/atom.

Cell: 4.894 4.894 5.005 Å, 90.00 90.00 90.00°
Fractional coordinates of all 5 atoms:
Na 0.000 0.000 0.000
Ge 0.500 0.500 0.500
As 0.000 0.500 0.000
As 0.500 0.000 0.000
Se 0.000 0.000 0.500

---

[2]
NaGeAs2Se at its PBEsol-relaxed geometry, computed with SCAN.

Calculated values
The calculation puts the formation energy (no corrections) at 0.298 eV per atom. Its space group is P4/mmm (123). The energy above the most stable polymorph in this dataset is 0.000 eV/atom.

Cell: 4.938 4.938 5.135 Å, 90.00 90.00 90.00°
Fractional coordinates of all 5 atoms:
Na 0.000 0.000 0.000
Ge 0.500 0.500 0.500
As 0.000 0.500 0.500
As 0.500 0.000 0.500
Se 0.500 0.500 0.000

---

[3]
Na2SnGeAs at its PBEsol-relaxed geometry, computed with SCAN.

Calculated values
Its space group is P4/mmm (123). Its formation energy is 7.5 kcal/mol of atoms.

Cell: 5.223 5.223 5.323 Å, 90.00 90.00 90.00°
Fractional coordinates of all 5 atoms:
Na 0.000 0.500 0.000
Na 0.500 0.000 0.000
Sn 0.000 0.000 0.500
Ge 0.500 0.500 0.500
As 0.000 0.000 0.000

---

[4]
NaTlGe2As at its PBEsol-relaxed geometry, computed with SCAN.

Calculated values
Its space group is P4/mmm (123). Its formation energy is 8.4 kcal/mol of atoms.

Cell: 5.053 5.053 5.209 Å, 90.00 90.00 90.00°
Fractional coordinates of all 5 atoms:
Na 0.000 0.000 0.000
Tl 0.500 0.500 0.000
Ge 0.000 0.500 0.500
Ge 0.500 0.000 0.500
As 0.000 0.000 0.500

---

[5]
Na2Zn3GeAs4 at its PBEsol-relaxed geometry, computed with SCAN.

Calculated values
Its space group is Cm (8). Its formation energy is -7.8 kcal/mol of atoms.

Cell: 8.409 8.409 7.009 Å, 114.20 114.20 28.06°
Fractional coordinates of all 10 atoms:
Na 0.000 0.000 0.000
Na 0.510 0.510 0.491
Zn 0.332 0.332 0.638
Zn 0.716 0.716 0.383
Zn 0.836 0.836 0.174
Ge 0.195 0.195 0.845
As 0.145 0.145 0.458
As 0.362 0.362 0.015
As 0.642 0.642 0.977
As 0.889 0.889 0.549

---

[6]
NbGeAs at its PBEsol-relaxed geometry, computed with SCAN.

Calculated values
Its space group is P4/nmm (129). Its formation energy is -12.0 kcal/mol of atoms.

Cell: 3.557 3.557 7.926 Å, 90.00 90.00 90.00°
Fractional coordinates of all 6 atoms:
Nb 0.250 0.250 0.239
Nb 0.750 0.750 0.761
Ge 0.250 0.750 0.500
Ge 0.750 0.250 0.500
As 0.250 0.250 0.891
As 0.750 0.750 0.109

---

[7]
NbSiGe2As at its PBEsol-relaxed geometry, computed with SCAN.

Calculated values
The calculation puts the formation energy (no corrections) at 1.238 eV per atom. Its space group is P4/mmm (123).

Cell: 4.790 4.790 4.589 Å, 90.00 90.00 90.00°
Fractional coordinates of all 5 atoms:
Nb 0.000 0.000 0.000
Si 0.500 0.500 0.000
Ge 0.000 0.500 0.500
Ge 0.500 0.000 0.500
As 0.500 0.500 0.500

---

[8]
Ni4Ge3As9 at its PBEsol-relaxed geometry, computed with SCAN.

Calculated values
Its space group is Cm (8). Its formation energy is -4.9 kcal/mol of atoms.

Cell: 7.137 7.137 8.196 Å, 124.98 124.98 71.23°
Fractional coordinates of all 16 atoms:
Ni 0.247 0.753 0.000
Ni 0.253 0.752 0.499
Ni 0.752 0.253 0.499
Ni 0.753 0.247 0.000
Ge 0.592 0.592 0.692
Ge 0.595 0.595 0.998
Ge 0.906 0.906 0.308
As 0.062 0.748 0.652
As 0.099 0.402 0.839
As 0.099 0.405 0.157
As 0.402 0.099 0.839
As 0.405 0.099 0.157
As 0.446 0.756 0.349
As 0.748 0.062 0.652
As 0.756 0.446 0.349
As 0.904 0.904 0.004

---

[9]
Ni3GeAs at its PBEsol-relaxed geometry, computed with SCAN.

Calculated values
Its space group is Pm-3m (221). Its formation energy is 10.4 kcal/mol of atoms. The energy above the most stable polymorph in this dataset is 0.000 eV/atom.

Cell: 4.290 4.290 4.290 Å, 90.00 90.00 90.00°
Fractional coordinates of all 5 atoms:
Ni 0.000 0.000 0.500
Ni 0.000 0.500 0.000
Ni 0.500 0.000 0.000
Ge 0.500 0.500 0.500
As 0.000 0.000 0.000

---

[10]
Ge2As2O7 at its PBEsol-relaxed geometry, computed with SCAN.

Calculated values
The calculation puts the formation energy (no corrections) at -1.483 eV per atom. Its space group is P-1 (2).

Cell: 7.021 7.081 12.586 Å, 91.47 95.48 92.51°
Fractional coordinates of all 44 atoms:
Ge 0.069 0.098 0.384
Ge 0.269 0.637 0.901
Ge 0.322 0.480 0.683
Ge 0.340 0.872 0.117
Ge 0.660 0.128 0.883
Ge 0.678 0.520 0.317
Ge 0.731 0.363 0.099
Ge 0.931 0.902 0.616
As 0.080 0.241 0.836
As 0.166 0.276 0.155
As 0.169 0.679 0.462
As 0.403 0.039 0.659
As 0.597 0.961 0.341
As 0.831 0.321 0.538
As 0.834 0.724 0.845
As 0.920 0.759 0.164
O 0.050 0.299 0.470
O 0.089 0.792 0.859
O 0.096 0.405 0.724
O 0.143 0.025 0.670
O 0.159 0.423 0.939
O 0.178 0.723 0.179
O 0.213 0.936 0.458
O 0.215 0.158 0.283
O 0.227 0.077 0.074
O 0.318 0.660 0.589
O 0.416 0.747 0.007
O 0.429 0.596 0.802
O 0.438 0.290 0.629
O 0.442 0.082 0.804
O 0.558 0.918 0.196
O 0.562 0.710 0.371
O 0.571 0.404 0.198
O 0.584 0.253 0.993
O 0.682 0.340 0.411
O 0.773 0.923 0.926
O 0.785 0.842 0.717
O 0.787 0.064 0.542
O 0.822 0.277 0.821
O 0.841 0.577 0.061
O 0.857 0.975 0.330
O 0.904 0.595 0.276
O 0.911 0.208 0.141
O 0.950 0.701 0.530

---

[11]
GeAs3O at its PBEsol-relaxed geometry, computed with SCAN.

Calculated values
The calculation puts the formation energy (no corrections) at 0.418 eV per atom. Its space group is Pm-3m (221). The energy above the most stable polymorph in this dataset is 0.000 eV/atom.

Cell: 4.386 4.386 4.386 Å, 90.00 90.00 90.00°
Fractional coordinates of all 5 atoms:
Ge 0.000 0.000 0.000
As 0.000 0.500 0.500
As 0.500 0.000 0.500
As 0.500 0.500 0.000
O 0.500 0.500 0.500

---

[12]
GeAs3O at its PBEsol-relaxed geometry, computed with SCAN.

Calculated values
The calculation puts the formation energy (no corrections) at 1.305 eV per atom. Its space group is Pm-3m (221). The energy above the most stable polymorph in this dataset is 0.887 eV/atom.

Cell: 4.838 4.838 4.838 Å, 90.00 90.00 90.00°
Fractional coordinates of all 5 atoms:
Ge 0.000 0.000 0.000
As 0.000 0.000 0.500
As 0.000 0.500 0.000
As 0.500 0.000 0.000
O 0.500 0.500 0.500